No. 1
SrErCuTe3 | GGA-PBE | relaxed

## Properties
volume: 364.32 Å³ per cell
raw total energy: -4.3377 eV/atom
total moment: 0.00 μB/atom

Cell lengths 10.048, 10.048, 8.722 Å; angles 101.96, 101.96, 25.05 degrees
Atoms (fractional coordinates):
Sr1 0.125 0.125 0.069
Sr2 0.875 0.875 0.931
Er1 0.161 0.161 0.584
Er2 0.839 0.839 0.416
Cu1 0.456 0.456 0.292
Cu2 0.544 0.544 0.708
Te1 0.000 0.000 0.500
Te2 0.322 0.322 0.170
Te3 0.323 0.323 0.647
Te4 0.500 0.500 0.000
Te5 0.677 0.677 0.353
Te6 0.678 0.678 0.830


No. 2
DyTePbAuS2 | GGA-PBE | relaxed

## Properties
volume: 318.37 Å³ per cell
raw total energy: -4.7028 eV/atom
total moment: 0.00 μB/atom

Cell lengths 7.374, 7.374, 11.075 Å; angles 90.00, 90.00, 148.08 degrees
Atoms (fractional coordinates):
Dy1 0.000 0.000 0.000
Dy2 0.000 0.000 0.500
Te1 0.111 0.889 0.750
Te2 0.889 0.111 0.250
Pb1 0.203 0.797 0.250
Pb2 0.797 0.203 0.750
Au1 0.474 0.526 0.750
Au2 0.526 0.474 0.250
S1 0.374 0.626 0.561
S2 0.374 0.626 0.939
S3 0.626 0.374 0.061
S4 0.626 0.374 0.439


No. 3
RbLiTcIr | GGA-PBE | relaxed

## Properties
energy above the most stable polymorph in this dataset: 0 meV per atom
volume: 70.46 Å³ per cell
raw total energy: -4.4267 eV/atom
total moment: 0.13 μB/atom

Cell lengths 4.636, 4.636, 4.636 Å; angles 60.00, 60.00, 60.00 degrees
Atoms (fractional coordinates):
Rb1 0.000 0.000 0.000
Li1 0.750 0.750 0.750
Tc1 0.250 0.250 0.250
Ir1 0.500 0.500 0.500


volume of number 1 (SrErCuTe3)?
364.32 Å³ per cell


What is the raw total energy in the second record?
-4.7028 eV/atom


Look up the raw total energy of the first one.
-4.3377 eV/atom